Record 1
Computed, not measured: a relaxed Lu4FeSiN2 crystal at the GGA-PBE level of DFT.

Geometry as CIF:
```
data_Lu4FeSiN2
_chemical_formula_sum 'Lu4 Fe1 Si1 N2'
_space_group_name_H-M_alt 'P -6 m 2'
_space_group_IT_number 187
_space_group_name_Hall 'P -6 2'
_cell_length_a 3.3386
_cell_length_b 3.3386
_cell_length_c 14.1192
_cell_angle_alpha 90.00
_cell_angle_beta 90.00
_cell_angle_gamma 120.00
loop_
_atom_site_label
_atom_site_type_symbol
_atom_site_fract_x
_atom_site_fract_y
_atom_site_fract_z
_atom_site_occupancy
Lu1 Lu 0.0000 0.0000 0.1493 1
Lu2 Lu 0.6667 0.3333 0.3411 1
Fe1 Fe 0.6667 0.3333 0.0000 1
Si1 Si 0.0000 0.0000 0.5000 1
N1 N 0.3333 0.6667 0.2540 1
```

## Properties
VASP energy: -55.56 eV for the cell shown
crystal system: hexagonal
calculated volume: 136.3 Å³/f.u.
total magnetic moment: 0.21 μB/atom
mass density: 9.89 Mg/m³



Record 2
Computed, not measured: a relaxed Lu4FeSnN2 crystal at the GGA-PBE level of DFT.

Geometry as CIF:
```
data_Lu4FeSnN2
_chemical_formula_sum 'Lu4 Fe1 Sn1 N2'
_space_group_name_H-M_alt 'P -6 m 2'
_space_group_IT_number 187
_space_group_name_Hall 'P -6 2'
_cell_length_a 3.3702
_cell_length_b 3.3702
_cell_length_c 14.3665
_cell_angle_alpha 90.00
_cell_angle_beta 90.00
_cell_angle_gamma 120.00
loop_
_atom_site_label
_atom_site_type_symbol
_atom_site_fract_x
_atom_site_fract_y
_atom_site_fract_z
_atom_site_occupancy
Lu1 Lu 0.0000 0.0000 0.1348 1
Lu2 Lu 0.6667 0.3333 0.3228 1
Fe1 Fe 0.6667 0.3333 0.0000 1
Sn1 Sn 0.0000 0.0000 0.5000 1
N1 N 0.3333 0.6667 0.2437 1
```

## Properties
VASP energy: -54.48 eV for the cell shown
crystal system: hexagonal
calculated volume: 141.3 Å³/f.u.
total magnetic moment: 0.12 μB/atom
mass density: 10.60 Mg/m³



Q: Look up the mass density of the second one.
A: 10.60 Mg/m³



Q: Number 1 is which compound?
A: Lu4FeSiN2



Q: What is the formula in the second record?
A: Lu4FeSnN2